Record 1
K3Sb2Cl9 | PBE | relaxed

## Properties
Uncorrected formation energy, eV/f.u.: -18.67
Space-group type: No. 194

a b c (Å): 7.3881 7.3881 19.1574
angles (deg): 90.00 90.00 120.00
Last column: nearest neighbours and their distance in Å.
Element x y z (fractional)
K1 0.0000 0.0000 0.2500  12 Cl 3.69-3.91
K2 0.0000 0.0000 0.7500  12 Cl 3.69-3.91
K3 0.3333 0.6667 0.0679  9 Cl 3.53-3.70
K4 0.3333 0.6667 0.4321  9 Cl 3.53-3.70
K5 0.6667 0.3333 0.5679  9 Cl 3.53-3.70
K6 0.6667 0.3333 0.9321  9 Cl 3.53-3.70
Sb1 0.3333 0.6667 0.6550  3 Cl 2.53
Sb2 0.3333 0.6667 0.8450  3 Cl 2.53
Sb3 0.6667 0.3333 0.1550  3 Cl 2.53
Sb4 0.6667 0.3333 0.3450  3 Cl 2.53
Cl1 0.0119 0.5059 0.2500  2 Sb 2.86
Cl2 0.1703 0.3406 0.5805  1 Sb 2.53
Cl3 0.1703 0.3406 0.9195  1 Sb 2.53
Cl4 0.1703 0.8297 0.5805  1 Sb 2.53
Cl5 0.1703 0.8297 0.9195  1 Sb 2.53
Cl6 0.3406 0.1703 0.0805  1 Sb 2.53
Cl7 0.3406 0.1703 0.4195  1 Sb 2.53
Cl8 0.4941 0.5059 0.2500  2 Sb 2.86
Cl9 0.4941 0.9881 0.2500  2 Sb 2.86
Cl10 0.5059 0.0119 0.7500  2 Sb 2.86
Cl11 0.5059 0.4941 0.7500  2 Sb 2.86
Cl12 0.6594 0.8297 0.5805  1 Sb 2.53
Cl13 0.6594 0.8297 0.9195  1 Sb 2.53
Cl14 0.8297 0.1703 0.0805  1 Sb 2.53
Cl15 0.8297 0.1703 0.4195  1 Sb 2.53
Cl16 0.8297 0.6594 0.0805  1 Sb 2.53
Cl17 0.8297 0.6594 0.4195  1 Sb 2.53
Cl18 0.9881 0.4941 0.7500  2 Sb 2.86

=====

Record 2
K3SbCl | PBE | relaxed

## Properties
Polymorph energy (0 for the lowest one), eV per formula unit: 0.00
Uncorrected formation energy, eV/f.u.: -4.26
Space-group type: No. 221

a b c (Å): 5.9155 5.9155 5.9155
angles (deg): 90.00 90.00 90.00
Last column: nearest neighbours and their distance in Å.
Element x y z (fractional)
K1 0.0000 0.0000 0.5000  2 Cl 2.96
K2 0.0000 0.5000 0.0000  2 Cl 2.96
K3 0.5000 0.0000 0.0000  2 Cl 2.96
Sb1 0.5000 0.5000 0.5000  12 K 4.18
Cl1 0.0000 0.0000 0.0000  6 K 2.96

=====

Record 3
KSbCl2 | PBE | relaxed

## Properties
Polymorph energy (0 for the lowest one), eV per formula unit: 1.06
Uncorrected formation energy, eV/f.u.: -2.96
Space-group type: No. 44

a b c (Å): 3.6771 4.6493 15.0867
angles (deg): 90.00 90.00 90.00
Last column: nearest neighbours and their distance in Å.
Element x y z (fractional)
K1 0.0000 0.0000 0.0000  4 Cl 3.02
K2 0.5000 0.5000 0.5000  4 Cl 3.02
Sb1 0.0000 0.5000 0.7465  4 Cl 2.97
Sb2 0.5000 0.0000 0.2465  4 Cl 2.97
Cl1 0.0000 0.0000 0.4601  4 K 3.02
Cl2 0.0000 0.5000 0.2393  4 Sb 2.97
Cl3 0.5000 0.0000 0.7393  4 Sb 2.97
Cl4 0.5000 0.5000 0.9601  4 K 3.02

=====

Record 4
KSbCl2 | PBE | relaxed

## Properties
Polymorph energy (0 for the lowest one), eV per formula unit: 0.00
Uncorrected formation energy, eV/f.u.: -4.03
Space-group type: No. 166

a b c (Å): 3.9009 3.9009 28.0841
angles (deg): 90.00 90.00 120.00
Last column: nearest neighbours and their distance in Å.
Element x y z (fractional)
K1 0.0000 0.0000 0.0000  6 Cl 3.03
K2 0.3333 0.6667 0.6667  6 Cl 3.03
K3 0.6667 0.3333 0.3333  6 Cl 3.03
Sb1 0.0000 0.0000 0.5000  2 Cl 2.65
Sb2 0.3333 0.6667 0.1667  2 Cl 2.65
Sb3 0.6667 0.3333 0.8333  2 Cl 2.65
Cl1 0.0000 0.0000 0.4056  1 Sb 2.65
Cl2 0.0000 0.0000 0.5944  1 Sb 2.65
Cl3 0.3333 0.6667 0.0723  1 Sb 2.65
Cl4 0.3333 0.6667 0.2610  1 Sb 2.65
Cl5 0.6667 0.3333 0.7390  1 Sb 2.65
Cl6 0.6667 0.3333 0.9277  1 Sb 2.65

=====

Record 5
KSbCl | PBE | relaxed

## Properties
Polymorph energy (0 for the lowest one), eV per formula unit: 0.58
Uncorrected formation energy, eV/f.u.: -1.14
Space-group type: No. 187

a b c (Å): 5.6674 5.6674 3.2360
angles (deg): 90.00 90.00 120.00
Last column: nearest neighbours and their distance in Å.
Element x y z (fractional)
K1 0.0000 0.0000 0.0000  2 K 3.24
Sb1 0.6667 0.3333 0.5000  2 Sb 3.24, 3 Cl 3.27
Cl1 0.3333 0.6667 0.5000  2 Cl 3.24, 3 Sb 3.27

=====

Record 6
KSb2Cl | PBE | relaxed

## Properties
Polymorph energy (0 for the lowest one), eV per formula unit: 1.91
Uncorrected formation energy, eV/f.u.: -1.22
Space-group type: No. 123

a b c (Å): 5.2724 5.2724 6.1656
angles (deg): 90.00 90.00 90.00
Last column: nearest neighbours and their distance in Å.
Element x y z (fractional)
K1 0.0000 0.0000 0.0000  2 Cl 3.08
Sb1 0.5000 0.5000 0.2071  1 Sb 2.55
Sb2 0.5000 0.5000 0.7929  1 Sb 2.55
Cl1 0.0000 0.0000 0.5000  2 K 3.08